Record 1
# PBE Na2SiPbO4, relaxed
data_Na2SiPbO4
_cell_length_a 5.968
_cell_length_b 5.968
_cell_length_c 5.968
_cell_angle_alpha 75.36
_cell_angle_beta 128.78
_cell_angle_gamma 128.78
_space_group_name_H-M_alt 'P 1'
_space_group_IT_number 1
loop_
_space_group_symop_operation_xyz
'x,y,z'
loop_
_atom_site_label
_atom_site_fract_x
_atom_site_fract_y
_atom_site_fract_z
Si1 0.000 0.500 0.500
O1 0.377 0.778 0.798
O2 0.980 0.202 0.579
O3 0.020 0.600 0.222
O4 0.623 0.421 0.400
Na1 0.000 0.000 0.000
Na2 0.500 0.750 0.250
Pb1 0.500 0.250 0.750
# Total moment (Bohr magnetons per cell): 0.0
# Density of states at the Fermi level (states/eV per atom): 0.000
# VASP energy (eV/atom): -5.9127
# Symmetry: No. 82
# Formation energy from raw total energies (meV per atom): -1962

Record 2
# PBE Zn2AgSn2Au5, relaxed
data_Zn2AgSn2Au5
_cell_length_a 3.918
_cell_length_b 10.006
_cell_length_c 10.006
_cell_angle_alpha 90.00
_cell_angle_beta 90.00
_cell_angle_gamma 90.00
_space_group_name_H-M_alt 'P 1'
_space_group_IT_number 1
loop_
_space_group_symop_operation_xyz
'x,y,z'
loop_
_atom_site_label
_atom_site_fract_x
_atom_site_fract_y
_atom_site_fract_z
Au1 0.500 0.982 0.209
Au2 0.500 0.482 0.291
Au3 0.500 0.018 0.791
Au4 0.500 0.000 0.500
Au5 0.500 0.791 0.982
Au6 0.500 0.518 0.709
Au7 0.500 0.209 0.018
Au8 0.500 0.291 0.518
Au9 0.500 0.500 0.000
Au10 0.500 0.709 0.482
Sn1 0.000 0.325 0.825
Sn2 0.000 0.825 0.675
Sn3 0.000 0.675 0.175
Sn4 0.000 0.175 0.325
Ag1 0.000 0.500 0.500
Ag2 0.000 0.000 0.000
Zn1 0.000 0.365 0.135
Zn2 0.000 0.865 0.365
Zn3 0.000 0.635 0.865
Zn4 0.000 0.135 0.635
# Total moment (Bohr magnetons per cell): 0.0
# Density of states at the Fermi level (states/eV per atom): 0.264
# Energy of formation (eV/atom): -0.068
# VASP energy (eV/atom): -3.0475
# Symmetry: No. 127

> Look up the density of states at the Fermi level of the first one.

0.000 states/eV per atom